Arrangement a

Here is a geometry-optimized AgMoSN2 structure from the Alexandria database. Energies are from PBE-GGA.

Geometry as POSCAR:
```
AgMoSN2
1.0
4.030 0.000 0.000
0.000 4.030 0.000
0.000 0.000 4.959
Mo S Ag N
1 1 1 2
Direct
0.500 0.500 0.500
0.000 0.000 0.500
0.000 0.000 0.000
0.000 0.500 0.000
0.500 0.000 0.000
```

=====

Arrangement b

Here is a geometry-optimized AgMoSN2 structure from the Alexandria database. Energies are from PBE-GGA.

Geometry as POSCAR:
```
AgMoSN2
1.0
-3.228 -1.626 1.411
1.928 -3.315 0.589
1.276 1.585 4.745
Mo S Ag N
1 1 1 2
Direct
0.000 0.000 0.000
0.000 0.000 0.500
0.500 0.500 0.500
0.000 0.500 0.000
0.500 0.000 0.000
```

=====

Which of them is the most stable? Correct choice: arrangement b.

=====

Arrangement a

Here is a geometry-optimized AgMoSeN2 structure from the Alexandria database. Energies are from PBE-GGA.

Geometry as POSCAR:
```
AgMoSeN2
1.0
3.970 0.000 0.000
0.000 3.970 0.000
0.000 0.000 5.051
Mo Se Ag N
1 1 1 2
Direct
0.500 0.500 0.500
0.000 0.000 0.500
0.000 0.000 0.000
0.000 0.500 0.000
0.500 0.000 0.000
```

=====

Arrangement b

Here is a geometry-optimized AgMoSeN2 structure from the Alexandria database. Energies are from PBE-GGA.

Geometry as POSCAR:
```
AgMoSeN2
1.0
-3.504 -1.134 -1.256
1.372 -0.212 -3.635
1.389 -5.206 0.828
Mo Se Ag N
1 1 1 2
Direct
0.000 0.000 0.000
0.000 0.000 0.500
0.500 0.500 0.500
0.000 0.500 0.000
0.500 0.000 0.000
```

=====

Which of them is the most stable? Correct choice: arrangement b.

=====

Arrangement a

Here is a geometry-optimized AgTeMoN2 structure from the Alexandria database. Energies are from PBE-GGA.

Geometry as POSCAR:
```
AgTeMoN2
1.0
3.940 0.000 0.000
0.000 3.940 0.000
0.000 0.000 5.781
Mo Te Ag N
1 1 1 2
Direct
0.000 0.000 0.000
0.000 0.000 0.500
0.500 0.500 0.500
0.000 0.500 0.000
0.500 0.000 0.000
```

=====

Arrangement b

Here is a geometry-optimized AgTeMoN2 structure from the Alexandria database. Energies are from PBE-GGA.

Geometry as POSCAR:
```
AgTeMoN2
1.0
4.011 0.000 0.000
0.000 4.011 0.000
0.000 0.000 5.515
Mo Te Ag N
1 1 1 2
Direct
0.500 0.500 0.500
0.000 0.000 0.500
0.000 0.000 0.000
0.000 0.500 0.000
0.500 0.000 0.000
```

=====

Which of them is the most stable? Correct choice: arrangement a.